An optimized crystal structure of Tc3Os4. Source: the Alexandria database, functional PBE.

Structure (extended XYZ):
```
7
Lattice="2.4813 -4.2978 0.0000 2.4813 4.2978 0.0000 0.0000 0.0000 4.8866" Properties=species:S:1:pos:R:3 pbc="T T T"
Os 0.0000 0.0000 3.6379
Os 2.4813 -1.4326 2.4433
Os 2.4813 1.4326 2.4433
Os 0.0000 0.0000 1.2487
Tc 2.4813 0.0000 0.0000
Tc 1.2407 2.1489 0.0000
Tc 1.2407 -2.1489 0.0000
```

space-group type = P6/mmm, No. 191
energy relative to the elements = 0.403 eV per atom
total DFT energy (no corrections) = -73.19 eV per cell

***

An optimized crystal structure of TcOs4. Source: the Alexandria database, functional PBE.

Structure (extended XYZ):
```
5
Lattice="-1.3546 -3.4637 -2.6735 2.3930 -2.9295 2.5829 -3.6631 -0.6329 2.6760" Properties=species:S:1:pos:R:3 pbc="T T T"
Tc -1.3124 -3.5130 1.2927
Os -2.5088 -2.0483 0.0012
Os 0.5192 -3.1966 -0.0453
Os -0.6351 -1.7812 2.6294
Os 0.0000 0.0000 0.0000
```

space-group type = Pm-3m, No. 221
energy relative to the elements = 2.716 eV per atom
total DFT energy (no corrections) = -41.70 eV per cell

***

An optimized crystal structure of Tc3Os. Source: the Alexandria database, functional PBE.

Structure (extended XYZ):
```
4
Lattice="-1.5219 4.4294 0.7583 -4.6536 -0.0647 0.9219 3.6212 -2.4568 1.8335" Properties=species:S:1:pos:R:3 pbc="T T T"
Tc -0.5162 -1.2608 1.3777
Tc -4.6317 3.2735 1.2601
Tc -1.5438 1.0911 0.4200
Os 1.0497 0.9863 1.2959
```

space-group type = I4/mmm, No. 139
energy relative to the elements = 0.056 eV per atom
total DFT energy (no corrections) = -42.10 eV per cell

***

Calculated excess energy over the best structure of this formula in the dataset in order - 0.0000 2.6172 0.1099 eV per atom